Below is an optimized crystal structure of Tb2Rh4Pb3, with properties calculated at the PBE level.

Values from the calculation:
Total moment   0.00 μB/cell
Calculated total energy   -107.4 eV per cell

abc: 6.139 7.133 9.239
angles: 90.00 109.40 90.00
Sites, in units of the cell vectors:
1 Pb 0.486 0.250 0.471
2 Rh 0.673 0.750 0.847
3 Pb 0.500 0.500 0.000
4 Tb 0.401 0.087 0.803
5 Rh 0.659 0.540 0.317
6 Pb 0.514 0.750 0.529
7 Tb 0.599 0.913 0.197
8 Tb 0.901 0.413 0.803
9 Pb 0.000 0.000 0.000
10 Rh 0.827 0.250 0.153
11 Pb 0.986 0.250 0.471
12 Rh 0.327 0.250 0.153
13 Tb 0.099 0.587 0.197
14 Rh 0.159 0.960 0.317
15 Rh 0.841 0.040 0.683
16 Pb 0.014 0.750 0.529
17 Rh 0.341 0.460 0.683
18 Rh 0.173 0.750 0.847